Compound: Na3CoC2ClO6
Source: the Open Quantum Materials Database
Functional: PBE with a Hubbard U
Structure: relaxed

raw total energy: -315.67 eV for the cell shown
spin magnetization: 12.000 Bohr magnetons per cell
ρ: 2.8 g/cm3
SG: Fd-3

Lattice parameters (Å, degrees): 9.8405 9.8405 9.8405 120.00 90.00 120.00
Closest atoms and distances in Å follow each position.
Fractional coordinates of all 52 atoms:
Na 0.8467 0.1935 0.5967  4 O 2.35-2.40
Cl 0.0000 0.0000 0.5000  6 Na 2.80
O 0.6372 0.9476 0.8431  1 C 1.30
O 0.1569 0.4674 0.1046  1 C 1.30
O 0.1569 0.5524 0.3628  1 C 1.30
C 0.8460 0.5640 0.7820  3 O 1.30
Na 0.4033 0.7500 0.1533  4 O 2.35-2.40
Na 0.8467 0.7500 0.5967  4 O 2.35-2.40
Na 0.5967 0.2500 0.4033  4 O 2.35-2.40
Cl 0.5000 0.0000 0.5000  6 Na 2.80
O 0.1046 0.4476 0.8104  1 C 1.30
Co 0.0000 0.0000 0.0000  6 O 2.09
O 0.6372 0.0326 0.1896  1 C 1.30
C 0.7820 0.0640 0.8460  3 O 1.30
O 0.8431 0.4476 0.6372  1 C 1.30
O 0.6372 0.2942 0.1046  1 C 1.30
Co 0.0000 0.5000 0.0000  6 O 2.09
Cl 0.5000 0.5000 0.5000  6 Na 2.80
Co 0.5000 0.0000 0.0000  6 O 2.09
Na 0.1533 0.8065 0.4033  4 O 2.35-2.40
O 0.8954 0.0326 0.8431  1 C 1.30
Na 0.1533 0.2500 0.8467  4 O 2.35-2.40
C 0.2180 0.9360 0.1540  3 O 1.30
C 0.1540 0.4360 0.2180  3 O 1.30
C 0.7820 0.0640 0.2180  3 O 1.30
O 0.8431 0.7058 0.8104  1 C 1.30
O 0.1569 0.2942 0.1896  1 C 1.30
O 0.8954 0.2058 0.3628  1 C 1.30
O 0.3628 0.7058 0.8954  1 C 1.30
C 0.7820 0.4360 0.2180  3 O 1.30
Na 0.4033 0.7500 0.5967  4 O 2.35-2.40
C 0.2180 0.5640 0.7820  3 O 1.30
Cl 0.5000 0.5000 0.0000  6 Na 2.80
Na 0.5967 0.6935 0.8467  4 O 2.35-2.40
O 0.8104 0.4674 0.3628  1 C 1.30
O 0.3628 0.9674 0.8104  1 C 1.30
O 0.8104 0.9476 0.1046  1 C 1.30
O 0.3628 0.0524 0.1569  1 C 1.30
Na 0.5967 0.2500 0.8467  4 O 2.35-2.40
O 0.1896 0.5326 0.6372  1 C 1.30
O 0.8104 0.2058 0.8431  1 C 1.30
Na 0.4033 0.3065 0.1533  4 O 2.35-2.40
O 0.1896 0.7942 0.1569  1 C 1.30
O 0.8431 0.5326 0.8954  1 C 1.30
C 0.2180 0.9360 0.7820  3 O 1.30
Na 0.8467 0.7500 0.1533  4 O 2.35-2.40
O 0.1896 0.0524 0.8954  1 C 1.30
O 0.1046 0.7942 0.6372  1 C 1.30
Co 0.0000 0.5000 0.5000  6 O 2.09
O 0.8954 0.5524 0.1896  1 C 1.30
O 0.1046 0.9674 0.1569  1 C 1.30
Na 0.1533 0.2500 0.4033  4 O 2.35-2.40